Model i:
# NaAl2Tl PBE optimized geometry
# Total magnetic moment   0.00 Bohr magnetons per cell
data_NaAl2Tl
_chemical_formula_sum 'Na4 Al8 Tl4'
_space_group_name_H-M_alt 'F m -3 m'
_space_group_IT_number 225
_space_group_name_Hall '-F 4 2 3'
_cell_length_a 7.204
_cell_length_b 7.204
_cell_length_c 7.204
_cell_angle_alpha 90.00
_cell_angle_beta 90.00
_cell_angle_gamma 90.00
loop_
_atom_site_label
_atom_site_fract_x
_atom_site_fract_y
_atom_site_fract_z
Na1 0.000 0.000 0.000
Al1 0.250 0.250 0.250
Tl1 0.000 0.000 0.500

=====

Model ii:
# NaAl2Tl PBE optimized geometry
# Total magnetic moment   0.00 Bohr magnetons per cell
data_NaAl2Tl
_chemical_formula_sum 'Na4 Al8 Tl4'
_space_group_name_H-M_alt 'I -4 2 d'
_space_group_IT_number 122
_space_group_name_Hall 'I -4 2bw'
_cell_length_a 4.164
_cell_length_b 4.164
_cell_length_c 22.188
_cell_angle_alpha 90.00
_cell_angle_beta 90.00
_cell_angle_gamma 90.00
loop_
_atom_site_label
_atom_site_fract_x
_atom_site_fract_y
_atom_site_fract_z
Na1 0.000 0.000 0.000
Al1 0.249 0.250 0.125
Tl1 0.000 0.000 0.500

=====

Which of them is least stable? Easy: model ii.

=====

Model i:
# NaAlTl PBE optimized geometry
# Total magnetic moment   0.00 Bohr magnetons per cell
data_NaAlTl
_chemical_formula_sum 'Na4 Al4 Tl4'
_space_group_name_H-M_alt 'I m m m'
_space_group_IT_number 71
_space_group_name_Hall '-I 2 2'
_cell_length_a 3.204
_cell_length_b 5.765
_cell_length_c 16.640
_cell_angle_alpha 90.00
_cell_angle_beta 90.00
_cell_angle_gamma 90.00
loop_
_atom_site_label
_atom_site_fract_x
_atom_site_fract_y
_atom_site_fract_z
Na1 0.000 0.000 0.158
Al1 0.000 0.263 0.500
Tl1 0.000 0.000 0.351

=====

Model ii:
# NaAlTl PBE optimized geometry
# Total magnetic moment   0.00 Bohr magnetons per cell
data_NaAlTl
_chemical_formula_sum 'Na1 Al1 Tl1'
_space_group_name_H-M_alt 'P -6 m 2'
_space_group_IT_number 187
_space_group_name_Hall 'P -6 2'
_cell_length_a 5.0882
_cell_length_b 5.0882
_cell_length_c 3.2779
_cell_angle_alpha 90.00
_cell_angle_beta 90.00
_cell_angle_gamma 120.00
loop_
_atom_site_label
_atom_site_fract_x
_atom_site_fract_y
_atom_site_fract_z
Na1 0.0000 0.0000 0.0000
Al1 0.6667 0.3333 0.5000
Tl1 0.3333 0.6667 0.5000

=====

Model iii:
# NaAlTl PBE optimized geometry
# Total magnetic moment   0.00 Bohr magnetons per cell
data_NaAlTl
_chemical_formula_sum 'Na2 Al2 Tl2'
_space_group_name_H-M_alt 'I 4 m m'
_space_group_IT_number 107
_space_group_name_Hall 'I 4 -2'
_cell_length_a 3.563
_cell_length_b 3.563
_cell_length_c 12.064
_cell_angle_alpha 90.00
_cell_angle_beta 90.00
_cell_angle_gamma 90.00
loop_
_atom_site_label
_atom_site_fract_x
_atom_site_fract_y
_atom_site_fract_z
Na1 0.000 0.000 0.000
Al1 0.000 0.000 0.328
Tl1 0.000 0.000 0.685

=====

Which of them is least stable? Easy: model iii.

=====

Model i:
# Na2AlTl2 PBE optimized geometry
# Total magnetic moment   0.00 Bohr magnetons per cell
data_Na2AlTl2
_chemical_formula_sum 'Na4 Al2 Tl4'
_space_group_name_H-M_alt 'P 4/m b m'
_space_group_IT_number 127
_space_group_name_Hall '-P 4 2ab'
_cell_length_a 8.799
_cell_length_b 8.799
_cell_length_c 3.535
_cell_angle_alpha 90.00
_cell_angle_beta 90.00
_cell_angle_gamma 90.00
loop_
_atom_site_label
_atom_site_fract_x
_atom_site_fract_y
_atom_site_fract_z
Na1 0.132 0.368 0.000
Al1 0.000 0.000 0.000
Tl1 0.169 0.669 0.500

=====

Model ii:
# Na2AlTl2 PBE optimized geometry
# Total magnetic moment   0.00 Bohr magnetons per cell
data_Na2AlTl2
_chemical_formula_sum 'Na4 Al2 Tl4'
_space_group_name_H-M_alt 'P 4/m b m'
_space_group_IT_number 127
_space_group_name_Hall '-P 4 2ab'
_cell_length_a 7.429
_cell_length_b 7.429
_cell_length_c 5.134
_cell_angle_alpha 90.00
_cell_angle_beta 90.00
_cell_angle_gamma 90.00
loop_
_atom_site_label
_atom_site_fract_x
_atom_site_fract_y
_atom_site_fract_z
Na1 0.167 0.333 0.000
Al1 0.000 0.000 0.500
Tl1 0.147 0.647 0.500

=====

Which of them is least stable? Easy: model i.

=====

Model i:
# NaAl2Tl2 PBE optimized geometry
# Total magnetic moment   0.00 Bohr magnetons per cell
data_NaAl2Tl2
_chemical_formula_sum 'Na2 Al4 Tl4'
_space_group_name_H-M_alt 'P 4/m b m'
_space_group_IT_number 127
_space_group_name_Hall '-P 4 2ab'
_cell_length_a 8.322
_cell_length_b 8.322
_cell_length_c 3.641
_cell_angle_alpha 90.00
_cell_angle_beta 90.00
_cell_angle_gamma 90.00
loop_
_atom_site_label
_atom_site_fract_x
_atom_site_fract_y
_atom_site_fract_z
Na1 0.000 0.000 0.000
Al1 0.116 0.384 0.000
Tl1 0.184 0.684 0.500

=====

Model ii:
# NaAl2Tl2 PBE optimized geometry
# Total magnetic moment   0.00 Bohr magnetons per cell
data_NaAl2Tl2
_chemical_formula_sum 'Na2 Al4 Tl4'
_space_group_name_H-M_alt 'P 4/m b m'
_space_group_IT_number 127
_space_group_name_Hall '-P 4 2ab'
_cell_length_a 8.673
_cell_length_b 8.673
_cell_length_c 3.386
_cell_angle_alpha 90.00
_cell_angle_beta 90.00
_cell_angle_gamma 90.00
loop_
_atom_site_label
_atom_site_fract_x
_atom_site_fract_y
_atom_site_fract_z
Na1 0.000 0.000 0.000
Al1 0.118 0.382 0.500
Tl1 0.176 0.676 0.000

=====

Model iii:
# NaAl2Tl2 PBE optimized geometry
# Total magnetic moment   0.00 Bohr magnetons per cell
data_NaAl2Tl2
_chemical_formula_sum 'Na2 Al4 Tl4'
_space_group_name_H-M_alt 'I 4/m m m'
_space_group_IT_number 139
_space_group_name_Hall '-I 4 2'
_cell_length_a 4.849
_cell_length_b 4.849
_cell_length_c 11.528
_cell_angle_alpha 90.00
_cell_angle_beta 90.00
_cell_angle_gamma 90.00
loop_
_atom_site_label
_atom_site_fract_x
_atom_site_fract_y
_atom_site_fract_z
Na1 0.000 0.000 0.000
Al1 0.000 0.000 0.389
Tl1 0.000 0.500 0.250

=====

Which of them is least stable? Easy: model ii.

=====

Model i:
# NaAlV3 PBE optimized geometry
# Total magnetic moment   0.79 Bohr magnetons per cell
data_NaAlV3
_chemical_formula_sum 'Na1 Al1 V3'
_space_group_name_H-M_alt 'P m -3 m'
_space_group_IT_number 221
_space_group_name_Hall '-P 4 2 3'
_cell_length_a 4.650
_cell_length_b 4.650
_cell_length_c 4.650
_cell_angle_alpha 90.00
_cell_angle_beta 90.00
_cell_angle_gamma 90.00
loop_
_atom_site_label
_atom_site_fract_x
_atom_site_fract_y
_atom_site_fract_z
Na1 0.000 0.000 0.000
Al1 0.500 0.500 0.500
V1 0.000 0.500 0.500

=====

Model ii:
# NaAlV3 PBE optimized geometry
# Total magnetic moment   0.00 Bohr magnetons per cell
data_NaAlV3
_chemical_formula_sum 'Na1 Al1 V3'
_space_group_name_H-M_alt 'P m -3 m'
_space_group_IT_number 221
_space_group_name_Hall '-P 4 2 3'
_cell_length_a 4.421
_cell_length_b 4.421
_cell_length_c 4.421
_cell_angle_alpha 90.00
_cell_angle_beta 90.00
_cell_angle_gamma 90.00
loop_
_atom_site_label
_atom_site_fract_x
_atom_site_fract_y
_atom_site_fract_z
Na1 0.000 0.000 0.000
Al1 0.500 0.500 0.500
V1 0.000 0.000 0.500

=====

Which of them is least stable? Easy: model ii.

=====

Model i:
# NaAl2W PBE optimized geometry
# Total magnetic moment   2.77 Bohr magnetons per cell
data_NaAl2W
_chemical_formula_sum 'Na4 Al8 W4'
_space_group_name_H-M_alt 'I -4 2 d'
_space_group_IT_number 122
_space_group_name_Hall 'I -4 2bw'
_cell_length_a 4.282
_cell_length_b 4.282
_cell_length_c 18.138
_cell_angle_alpha 90.00
_cell_angle_beta 90.00
_cell_angle_gamma 90.00
loop_
_atom_site_label
_atom_site_fract_x
_atom_site_fract_y
_atom_site_fract_z
Na1 0.000 0.000 0.000
Al1 0.186 0.250 0.625
W1 0.000 0.000 0.500

=====

Model ii:
# NaAl2W PBE optimized geometry
# Total magnetic moment   3.79 Bohr magnetons per cell
data_NaAl2W
_chemical_formula_sum 'Na4 Al8 W4'
_space_group_name_H-M_alt 'F m -3 m'
_space_group_IT_number 225
_space_group_name_Hall '-F 4 2 3'
_cell_length_a 6.471
_cell_length_b 6.471
_cell_length_c 6.471
_cell_angle_alpha 90.00
_cell_angle_beta 90.00
_cell_angle_gamma 90.00
loop_
_atom_site_label
_atom_site_fract_x
_atom_site_fract_y
_atom_site_fract_z
Na1 0.000 0.000 0.000
Al1 0.250 0.250 0.250
W1 0.000 0.000 0.500

=====

Which of them is least stable? Easy: model i.

=====

Model i:
# Na3AlW PBE optimized geometry
# Total magnetic moment   4.92 Bohr magnetons per cell
data_Na3AlW
_chemical_formula_sum 'Na3 Al1 W1'
_space_group_name_H-M_alt 'P m -3 m'
_space_group_IT_number 221
_space_group_name_Hall '-P 4 2 3'
_cell_length_a 5.844
_cell_length_b 5.844
_cell_length_c 5.844
_cell_angle_alpha 90.00
_cell_angle_beta 90.00
_cell_angle_gamma 90.00
loop_
_atom_site_label
_atom_site_fract_x
_atom_site_fract_y
_atom_site_fract_z
Na1 0.000 0.000 0.500
Al1 0.500 0.500 0.500
W1 0.000 0.000 0.000

=====

Model ii:
# Na3AlW PBE optimized geometry
# Total magnetic moment   4.23 Bohr magnetons per cell
data_Na3AlW
_chemical_formula_sum 'Na3 Al1 W1'
_space_group_name_H-M_alt 'P m -3 m'
_space_group_IT_number 221
_space_group_name_Hall '-P 4 2 3'
_cell_length_a 5.561
_cell_length_b 5.561
_cell_length_c 5.561
_cell_angle_alpha 90.00
_cell_angle_beta 90.00
_cell_angle_gamma 90.00
loop_
_atom_site_label
_atom_site_fract_x
_atom_site_fract_y
_atom_site_fract_z
Na1 0.000 0.000 0.500
Al1 0.000 0.000 0.000
W1 0.500 0.500 0.500

=====

Which of them is least stable? Easy: model i.

=====

Model i:
# NaYAl2 PBE optimized geometry
# Total magnetic moment   0.00 Bohr magnetons per cell
data_NaYAl2
_chemical_formula_sum 'Na4 Y4 Al8'
_space_group_name_H-M_alt 'I -4 2 d'
_space_group_IT_number 122
_space_group_name_Hall 'I -4 2bw'
_cell_length_a 8.010
_cell_length_b 8.010
_cell_length_c 6.230
_cell_angle_alpha 90.00
_cell_angle_beta 90.00
_cell_angle_gamma 90.00
loop_
_atom_site_label
_atom_site_fract_x
_atom_site_fract_y
_atom_site_fract_z
Na1 0.000 0.000 0.000
Y1 0.000 0.000 0.500
Al1 0.237 0.250 0.125

=====

Model ii:
# NaYAl2 PBE optimized geometry
# Total magnetic moment   0.00 Bohr magnetons per cell
data_NaYAl2
_chemical_formula_sum 'Na4 Y4 Al8'
_space_group_name_H-M_alt 'F m -3 m'
_space_group_IT_number 225
_space_group_name_Hall '-F 4 2 3'
_cell_length_a 7.165
_cell_length_b 7.165
_cell_length_c 7.165
_cell_angle_alpha 90.00
_cell_angle_beta 90.00
_cell_angle_gamma 90.00
loop_
_atom_site_label
_atom_site_fract_x
_atom_site_fract_y
_atom_site_fract_z
Na1 0.000 0.000 0.000
Y1 0.000 0.000 0.500
Al1 0.250 0.250 0.250

=====

Which of them is least stable? Easy: model i.

=====

Model i:
# Na2YAl2 PBE optimized geometry
# Total magnetic moment   0.00 Bohr magnetons per cell
data_Na2YAl2
_chemical_formula_sum 'Na4 Y2 Al4'
_space_group_name_H-M_alt 'I 4/m m m'
_space_group_IT_number 139
_space_group_name_Hall '-I 4 2'
_cell_length_a 4.199
_cell_length_b 4.199
_cell_length_c 14.488
_cell_angle_alpha 90.00
_cell_angle_beta 90.00
_cell_angle_gamma 90.00
loop_
_atom_site_label
_atom_site_fract_x
_atom_site_fract_y
_atom_site_fract_z
Na1 0.000 0.500 0.250
Y1 0.000 0.000 0.000
Al1 0.000 0.000 0.412

=====

Model ii:
# Na2YAl2 PBE optimized geometry
# Total magnetic moment   1.76 Bohr magnetons per cell
data_Na2YAl2
_chemical_formula_sum 'Na4 Y2 Al4'
_space_group_name_H-M_alt 'P 4/m b m'
_space_group_IT_number 127
_space_group_name_Hall '-P 4 2ab'
_cell_length_a 8.516
_cell_length_b 8.516
_cell_length_c 3.506
_cell_angle_alpha 90.00
_cell_angle_beta 90.00
_cell_angle_gamma 90.00
loop_
_atom_site_label
_atom_site_fract_x
_atom_site_fract_y
_atom_site_fract_z
Na1 0.177 0.323 0.000
Y1 0.000 0.000 0.500
Al1 0.117 0.617 0.500

=====

Which of them is least stable? Easy: model ii.

=====

Model i:
# NaAl3Zn PBE optimized geometry
# Total magnetic moment   0.00 Bohr magnetons per cell
data_NaAl3Zn
_chemical_formula_sum 'Na1 Al3 Zn1'
_space_group_name_H-M_alt 'P m -3 m'
_space_group_IT_number 221
_space_group_name_Hall '-P 4 2 3'
_cell_length_a 4.912
_cell_length_b 4.912
_cell_length_c 4.912
_cell_angle_alpha 90.00
_cell_angle_beta 90.00
_cell_angle_gamma 90.00
loop_
_atom_site_label
_atom_site_fract_x
_atom_site_fract_y
_atom_site_fract_z
Na1 0.000 0.000 0.000
Al1 0.000 0.500 0.500
Zn1 0.500 0.500 0.500

=====

Model ii:
# NaAl3Zn PBE optimized geometry
# Total magnetic moment   0.00 Bohr magnetons per cell
data_NaAl3Zn
_chemical_formula_sum 'Na1 Al3 Zn1'
_space_group_name_H-M_alt 'P m -3 m'
_space_group_IT_number 221
_space_group_name_Hall '-P 4 2 3'
_cell_length_a 5.183
_cell_length_b 5.183
_cell_length_c 5.183
_cell_angle_alpha 90.00
_cell_angle_beta 90.00
_cell_angle_gamma 90.00
loop_
_atom_site_label
_atom_site_fract_x
_atom_site_fract_y
_atom_site_fract_z
Na1 0.000 0.000 0.000
Al1 0.000 0.000 0.500
Zn1 0.500 0.500 0.500

=====

Which of them is least stable? Easy: model ii.

=====

Model i:
# NaZrAl3 PBE optimized geometry
# Total magnetic moment   0.00 Bohr magnetons per cell
data_NaZrAl3
_chemical_formula_sum 'Na1 Zr1 Al3'
_space_group_name_H-M_alt 'P m -3 m'
_space_group_IT_number 221
_space_group_name_Hall '-P 4 2 3'
_cell_length_a 4.762
_cell_length_b 4.762
_cell_length_c 4.762
_cell_angle_alpha 90.00
_cell_angle_beta 90.00
_cell_angle_gamma 90.00
loop_
_atom_site_label
_atom_site_fract_x
_atom_site_fract_y
_atom_site_fract_z
Na1 0.000 0.000 0.000
Zr1 0.500 0.500 0.500
Al1 0.000 0.000 0.500

=====

Model ii:
# NaZrAl3 PBE optimized geometry
# Total magnetic moment   0.00 Bohr magnetons per cell
data_NaZrAl3
_chemical_formula_sum 'Na1 Zr1 Al3'
_space_group_name_H-M_alt 'P m -3 m'
_space_group_IT_number 221
_space_group_name_Hall '-P 4 2 3'
_cell_length_a 5.323
_cell_length_b 5.323
_cell_length_c 5.323
_cell_angle_alpha 90.00
_cell_angle_beta 90.00
_cell_angle_gamma 90.00
loop_
_atom_site_label
_atom_site_fract_x
_atom_site_fract_y
_atom_site_fract_z
Na1 0.000 0.000 0.000
Zr1 0.500 0.500 0.500
Al1 0.000 0.500 0.500

=====

Which of them is least stable? Easy: model i.

=====

Model i:
# NbAl4 PBE optimized geometry
# Total magnetic moment   2.57 Bohr magnetons per cell
data_NbAl4
_chemical_formula_sum 'Nb2 Al8'
_space_group_name_H-M_alt 'I 4/m m m'
_space_group_IT_number 139
_space_group_name_Hall '-I 4 2'
_cell_length_a 4.989
_cell_length_b 4.989
_cell_length_c 7.750
_cell_angle_alpha 90.00
_cell_angle_beta 90.00
_cell_angle_gamma 90.00
loop_
_atom_site_label
_atom_site_fract_x
_atom_site_fract_y
_atom_site_fract_z
Nb1 0.000 0.000 0.000
Al1 0.000 0.000 0.344
Al2 0.000 0.500 0.250

=====

Model ii:
# NbAl4 PBE optimized geometry
# Total magnetic moment   0.00 Bohr magnetons per cell
data_NbAl4
_chemical_formula_sum 'Nb1 Al4'
_space_group_name_H-M_alt 'P m -3 m'
_space_group_IT_number 221
_space_group_name_Hall '-P 4 2 3'
_cell_length_a 5.041
_cell_length_b 5.041
_cell_length_c 5.041
_cell_angle_alpha 90.00
_cell_angle_beta 90.00
_cell_angle_gamma 90.00
loop_
_atom_site_label
_atom_site_fract_x
_atom_site_fract_y
_atom_site_fract_z
Nb1 0.000 0.000 0.000
Al1 0.000 0.000 0.500
Al2 0.500 0.500 0.500

=====

Which of them is least stable? Easy: model ii.